1.
The following is a DFT calculation (GGA-PBE) of a geometry-optimized DyEr2Mg3Pd2Au structure.

POSCAR file:
```
DyEr2Mg3Pd2Au
1.0
4.089 0.000 0.000
0.000 6.443 3.716
0.000 -6.443 3.716
Mg Er Dy Pd Au
3 2 1 2 1
Direct
0.500 0.751 0.751
0.500 0.250 0.999
0.500 0.999 0.250
0.000 0.000 0.587
0.000 0.587 0.000
0.000 0.414 0.414
0.500 0.668 0.333
0.500 0.333 0.668
0.000 0.998 0.998
```

---

2.
The following is a DFT calculation (GGA-PBE) of a geometry-optimized Dy2ErMg3Pt2Au structure.

POSCAR file:
```
Dy2ErMg3Pt2Au
1.0
4.049 0.000 0.000
0.000 6.434 3.715
0.000 -6.434 3.715
Mg Pt Er Dy Au
3 2 1 2 1
Direct
0.500 0.251 0.000
0.500 0.749 0.749
0.500 0.000 0.251
0.500 0.333 0.666
0.500 0.666 0.333
0.000 0.417 0.417
0.000 0.583 0.000
0.000 0.000 0.583
0.000 0.000 0.000
```

---

3.
The following is a DFT calculation (GGA-PBE) of a geometry-optimized Dy2ErZn3NiAu2 structure.

Calculated formation energy, kJ per mole of atoms: -59.8

POSCAR file:
```
Dy2ErZn3NiAu2
1.0
-3.506 -1.682 0.443
1.388 -1.039 7.030
-3.210 6.115 -2.175
Zn Dy Au Ni Er
3 2 2 1 1
Direct
0.500 0.230 0.001
0.500 0.001 0.230
0.500 0.770 0.770
0.000 0.000 0.605
0.000 0.605 0.000
0.500 0.334 0.664
0.500 0.664 0.334
0.000 0.001 0.001
0.000 0.394 0.394
```

---

4.
The following is a DFT calculation (GGA-PBE) of a geometry-optimized DyEr2Zn3NiAu2 structure.

Calculated formation energy, kJ per mole of atoms: -60.0

POSCAR file:
```
DyEr2Zn3NiAu2
1.0
3.906 0.000 0.000
0.000 6.275 3.605
0.000 -6.275 3.605
Zn Dy Au Er Ni
3 1 2 2 1
Direct
0.500 0.770 0.770
0.500 0.229 0.999
0.500 0.999 0.229
0.000 0.396 0.396
0.500 0.670 0.333
0.500 0.333 0.670
0.000 0.000 0.606
0.000 0.606 0.000
0.000 0.998 0.998
```

---

Ordered total moment results: 0.0, 0.0, 0.0, 0.0; unit μB per cell.
Ordered total DFT energy (no corrections) results: -4.24, -4.63, -3.92, -3.91; unit eV/atom.